First-principles (GGA+U) data for Na3NiF4 after structural relaxation, as listed in Alexandria.

Values from the calculation:
The symmetry is I4/mmm (139). As for the volume: 12.47 A^3/atom. The calculated total energy is -4.018 eV per atom. The total magnetization is 1.0 μB/f.u.

extended XYZ file:
```
8
Lattice="-2.3485 2.3485 4.5230 2.3485 -2.3485 4.5230 2.3485 2.3485 -4.5230" Properties=species:S:1:pos:R:3 pbc="T T T"
Na 0.0000 0.0000 0.0000
Na 2.3485 0.0000 2.2615
Na 0.0000 2.3485 2.2615
Ni 0.0000 0.0000 4.5230
F 2.3485 0.0000 0.0000
F 0.0000 0.0000 2.3745
F 0.0000 2.3485 0.0000
F 0.0000 0.0000 6.6716
```